DFT (PBE with a Hubbard U) results for an optimized crystal structure of VNiAs2F.

Lattice parameters (Å, degrees): 4.706 4.706 3.667 90.00 90.00 90.00
Space group P4/mmm (No. 123)
Symmetry-distinct sites (fractional):
1 V 0.000 0.000 0.000 [1 per cell]
2 Ni 0.500 0.500 0.500 [1 per cell]
3 As 0.000 0.500 0.500 [2 per cell]
4 F 0.500 0.500 0.000 [1 per cell]

Computed properties:
VASP energy: -0.1396 hartree per atom